Record 1
SrTiRu3 after structural relaxation. Source: the Alexandria database, functional PBE.

abc: 4.671 4.671 4.671
angles: 90.00 90.00 90.00
Space group Pm-3m (No. 221)
Asymmetric unit:
Sr (0.000, 0.000, 0.000) x1
Ti (0.500, 0.500, 0.500) x1
Ru (0.000, 0.500, 0.500) x3

Computed properties:
raw total energy: -34.04 eV/cell
calculated formation energy: 0.6724 eV/atom
offset from the most stable computed form: 0 meV/atom
total moment: 0.408 Bohr magnetons per cell

---

Record 2
AcNd3Er7 after structural relaxation. Source: the Alexandria database, functional PBE.

abc: 12.816 11.127 5.992
angles: 90.00 117.78 90.00
Space group C2/m (No. 12)
Asymmetric unit:
Ac (0.000, 0.000, 0.000) x2
Nd (0.000, 0.285, 0.500) x4
Nd (0.000, 0.500, 0.000) x2
Er (0.000, 0.000, 0.500) x2
Er (0.196, 0.500, 0.695) x4
Er (0.216, 0.312, 0.216) x8

Computed properties:
raw total energy: -94.17 eV/cell
calculated formation energy: 0.2971 eV/atom
total moment: 0.116 Bohr magnetons per cell

---

Record 3
Dy2Co after structural relaxation. Source: the Alexandria database, functional PBE.

abc: 3.9651 3.9651 16.8591
angles: 90.00 90.00 120.00
Space group R-3m (No. 166, hexagonal axes)
Asymmetric unit:
Dy (0.0000, 0.0000, 0.2478) x6
Co (0.0000, 0.0000, 0.5000) x3

Computed properties:
raw total energy: -49.79 eV/cell
calculated formation energy: -0.0956 eV/atom
total moment: 0.000 Bohr magnetons per cell

---

Record 4
Sr2IrIN after structural relaxation. Source: the Alexandria database, functional PBE.

abc: 5.657 5.657 3.838
angles: 90.00 90.00 90.00
Space group P4/mmm (No. 123)
Asymmetric unit:
Sr (0.000, 0.500, 0.000) x2
Ir (0.000, 0.000, 0.500) x1
I (0.500, 0.500, 0.500) x1
N (0.000, 0.000, 0.000) x1

Computed properties:
formation energy from raw total energies: -4.0 eV per formula unit
raw total energy: -26.13 eV/cell
offset from the most stable computed form: 0 meV/atom
total moment: 0.000 Bohr magnetons per cell

---

Record 5
Na2TlIrBr after structural relaxation. Source: the Alexandria database, functional PBE.

abc: 6.028 6.028 5.712
angles: 90.00 90.00 90.00
Space group P4/mmm (No. 123)
Asymmetric unit:
Na (0.000, 0.500, 0.000) x2
Tl (0.000, 0.000, 0.000) x1
Ir (0.500, 0.500, 0.500) x1
Br (0.000, 0.000, 0.500) x1

Computed properties:
formation energy from raw total energies: 4.9 eV per formula unit
raw total energy: -10.63 eV/cell
offset from the most stable computed form: 545 meV/atom
total moment: 2.269 Bohr magnetons per cell

---

Record 6
ReAg2Se after structural relaxation. Source: the Alexandria database, functional PBE.

abc: 2.983 2.983 8.447
angles: 90.00 90.00 90.00
Space group P4mm (No. 99)
Asymmetric unit:
Re (0.000, 0.000, 0.000) x1
Ag (0.000, 0.000, 0.520) x1
Ag (0.500, 0.500, 0.758) x1
Se (0.500, 0.500, 0.168) x1

Computed properties:
formation energy from raw total energies: 1.3 eV per formula unit
raw total energy: -20.34 eV/cell
total moment: 0.000 Bohr magnetons per cell

---

Record 7
Sm3Dy2Y5 after structural relaxation. Source: the Alexandria database, functional PBE.

abc: 11.020 17.858 6.829
angles: 90.00 90.00 90.00
Space group Ibam (No. 72)
Asymmetric unit:
Sm (0.000, 0.000, 0.250) x4
Sm (0.207, 0.331, 0.000) x8
Dy (0.235, 0.024, 0.000) x8
Y (0.000, 0.181, 0.250) x8
Y (0.000, 0.500, 0.250) x4
Y (0.107, 0.330, 0.500) x8

Computed properties:
raw total energy: -212.18 eV/cell
calculated formation energy: 0.2636 eV/atom
offset from the most stable computed form: 75 meV/atom
total moment: 0.000 Bohr magnetons per cell

---

Record 8
TaI2NCl after structural relaxation. Source: the Alexandria database, functional PBE.

abc: 5.670 5.670 3.922
angles: 90.00 90.00 90.00
Space group P4/mmm (No. 123)
Asymmetric unit:
Ta (0.000, 0.000, 0.000) x1
I (0.000, 0.500, 0.000) x2
N (0.000, 0.000, 0.500) x1
Cl (0.500, 0.500, 0.500) x1

Computed properties:
formation energy from raw total energies: 0.4 eV per formula unit
raw total energy: -24.72 eV/cell
offset from the most stable computed form: 0 meV/atom
total moment: 0.438 Bohr magnetons per cell